(1)
Computed, not measured: crystalline TaTeAs2 at its relaxed geometry at the PBE-GGA level of DFT.

abc: 3.3927 3.3927 7.0169
angles: 90.00 90.00 90.00
Last column: nearest neighbours and their distance in Å.
Element x y z (fractional)
As: 0.0000 0.0000 0.0569  1 As 2.71, 4 Ta 2.76
As: 0.0000 0.0000 0.4431  1 As 2.71, 4 Ta 2.76
Te: 0.5000 0.5000 0.7500  8 As 3.22, 4 Te 3.39, 2 Ta 3.51
Ta: 0.5000 0.5000 0.2500  8 As 2.76

Results
Energy relative to the elements, uncorrected in meV per atom: -70
Space-group type: P4/mmm, No. 123
Raw total energy in eV per atom: -6.143
Crystal system: tetragonal

***

(2)
Computed, not measured: crystalline LiAc2Ir at its relaxed geometry at the PBE-GGA level of DFT.

abc: 5.3533 5.3671 5.3671
angles: 90.00 119.91 119.92
Last column: nearest neighbours and their distance in Å.
Element x y z (fractional)
Ac: 0.0000 0.4994 0.5006  4 Ir 3.28-3.30, 4 Li 3.28-3.29
Ac: 0.0000 0.0006 0.9994  4 Ir 3.28-3.30, 4 Li 3.28-3.29
Ir: 0.5000 0.2500 0.7500  8 Ac 3.28-3.30
Li: 0.5000 0.7500 0.2500  8 Ac 3.28-3.29

Results
Space-group type: Immm, No. 71
Raw total energy in eV per atom: -5.019
Energy of formation from the pure elements in eV/atom: -0.27
Crystal system: orthorhombic

***

(3)
Computed, not measured: crystalline Ce3OsPb2 at its relaxed geometry at the PBE-GGA level of DFT.

abc: 6.1964 7.7556 8.2080
angles: 103.67 112.18 90.00
Last column: nearest neighbours and their distance in Å.
Element x y z (fractional)
Ce: 0.4954 0.2500 0.0000  2 Os 3.09-3.10, 4 Pb 3.38
Ce: 0.5046 0.7500 0.0000  2 Os 3.09-3.10, 4 Pb 3.38
Ce: 0.1247 0.0646 0.2580  2 Os 2.71
Ce: 0.8667 0.4354 0.7420  2 Os 2.71
Ce: 0.1333 0.5646 0.2580  2 Os 2.71
Ce: 0.8753 0.9354 0.7420  2 Os 2.71
Os: 0.0052 0.7500 0.0000  4 Ce 2.71
Os: 0.9948 0.2500 0.0000  4 Ce 2.71
Pb: 0.6928 0.5939 0.3761  6 Ce 3.21-3.38
Pb: 0.6833 0.0939 0.3761  6 Ce 3.21-3.38
Pb: 0.3167 0.9061 0.6239  6 Ce 3.21-3.38
Pb: 0.3072 0.4061 0.6239  6 Ce 3.21-3.38

Results
Space-group type: C2/c, No. 15
Raw total energy in eV per atom: -6.266
Energy of formation from the pure elements in eV/atom: -0.19
Crystal system: monoclinic

***

(4)
Computed, not measured: crystalline LuPuCuRu at its relaxed geometry at the PBE-GGA level of DFT.

abc: 4.8008 4.8008 4.8008
angles: 60.00 60.00 60.00
Last column: nearest neighbours and their distance in Å.
Element x y z (fractional)
Ru: 0.2500 0.2500 0.2500  4 Lu 2.94, 4 Pu 2.94
Lu: 0.0000 0.0000 0.0000  4 Cu 2.94, 4 Ru 2.94
Cu: 0.7500 0.7500 0.7500  4 Pu 2.94, 4 Lu 2.94
Pu: 0.5000 0.5000 0.5000  4 Ru 2.94, 4 Cu 2.94

Results
Space-group type: F-43m, No. 216
Raw total energy in eV per atom: -8.236
Energy of formation from the pure elements in eV/atom: -0.18
Crystal system: cubic

***

(5)
Computed, not measured: crystalline Na2AgAu2 at its relaxed geometry at the PBE-GGA level of DFT.

abc: 7.2224 7.2224 4.3422
angles: 90.00 90.00 90.00
Last column: nearest neighbours and their distance in Å.
Element x y z (fractional)
Na: 0.1684 0.6684 0.5000  6 Au 2.95-3.10
Na: 0.6684 0.8316 0.5000  6 Au 2.95-3.10
Na: 0.8316 0.3316 0.5000  6 Au 2.95-3.10
Na: 0.3316 0.1684 0.5000  6 Au 2.95-3.10
Au: 0.3638 0.8638 0.0000  1 Au 2.78, 2 Ag 2.81, 6 Na 2.95-3.10
Au: 0.8638 0.6362 0.0000  1 Au 2.78, 2 Ag 2.81, 6 Na 2.95-3.10
Au: 0.6362 0.1362 0.0000  1 Au 2.78, 2 Ag 2.81, 6 Na 2.95-3.10
Au: 0.1362 0.3638 0.0000  1 Au 2.78, 2 Ag 2.81, 6 Na 2.95-3.10
Ag: 0.0000 0.0000 0.0000  4 Au 2.81
Ag: 0.5000 0.5000 0.0000  4 Au 2.81

Results
Energy above the most stable polymorph in this dataset in meV/atom: 72
Space-group type: P4/mbm, No. 127
Raw total energy in eV per atom: -2.594
Energy of formation from the pure elements in eV/atom: -0.18
Crystal system: tetragonal

***

(6)
Computed, not measured: crystalline ReBrCl2 at its relaxed geometry at the PBE-GGA level of DFT.

abc: 7.5981 7.5981 7.5981
angles: 156.84 144.31 42.98
Last column: nearest neighbours and their distance in Å.
Element x y z (fractional)
Re: 0.5026 0.5026 0.0000  2 Cl 2.45, 2 Br 2.56
Br: 0.3567 0.8567 0.5000  2 Re 2.56
Cl: 0.0030 0.0030 0.0000  4 Re 2.78, 4 Cl 3.01-3.05, 2 Br 3.11
Cl: 0.6377 0.1377 0.5000  2 Re 2.45

Results
Energy above the most stable polymorph in this dataset in meV/atom: 330
Energy relative to the elements, uncorrected in meV per atom: 165
Space-group type: Imm2, No. 44
Raw total energy in eV per atom: -4.288
Crystal system: orthorhombic

***

(7)
Computed, not measured: crystalline Al6CdAg12 at its relaxed geometry at the PBE-GGA level of DFT.

abc: 7.5722 7.5722 7.5722
angles: 106.82 106.82 106.82
Last column: nearest neighbours and their distance in Å.
Element x y z (fractional)
Al: 0.6926 0.3016 0.3016  8 Ag 2.71-2.98, 2 Al 2.98
Al: 0.3016 0.3016 0.6926  8 Ag 2.71-2.98, 2 Al 2.98
Al: 0.3016 0.6926 0.3016  8 Ag 2.71-2.98, 2 Al 2.98
Al: 0.6984 0.6984 0.3074  8 Ag 2.71-2.98, 2 Al 2.98
Al: 0.3074 0.6984 0.6984  8 Ag 2.71-2.98, 2 Al 2.98
Al: 0.6984 0.3074 0.6984  8 Ag 2.71-2.98, 2 Al 2.98
Cd: 0.0000 0.0000 0.0000  6 Ag 2.89
Ag: 0.8828 0.1172 0.5000  4 Al 2.72-2.78, 5 Ag 2.82-3.02
Ag: 0.8865 0.6449 0.6449  4 Al 2.71-2.98, 4 Ag 2.82-2.94, 1 Cd 2.89
Ag: 0.6449 0.6449 0.8865  4 Al 2.71-2.98, 4 Ag 2.82-2.94, 1 Cd 2.89
Ag: 0.3551 0.1135 0.3551  4 Al 2.71-2.98, 4 Ag 2.82-2.94, 1 Cd 2.89
Ag: 0.3551 0.3551 0.1135  4 Al 2.71-2.98, 4 Ag 2.82-2.94, 1 Cd 2.89
Ag: 0.1135 0.3551 0.3551  4 Al 2.71-2.98, 4 Ag 2.82-2.94, 1 Cd 2.89
Ag: 0.1172 0.5000 0.8828  4 Al 2.72-2.78, 5 Ag 2.82-3.02
Ag: 0.5000 0.8828 0.1172  4 Al 2.72-2.78, 5 Ag 2.82-3.02
Ag: 0.1172 0.8828 0.5000  4 Al 2.72-2.78, 5 Ag 2.82-3.02
Ag: 0.8828 0.5000 0.1172  4 Al 2.72-2.78, 5 Ag 2.82-3.02
Ag: 0.5000 0.1172 0.8828  4 Al 2.72-2.78, 5 Ag 2.82-3.02
Ag: 0.6449 0.8865 0.6449  4 Al 2.71-2.98, 4 Ag 2.82-2.94, 1 Cd 2.89

Results
Space-group type: R-3m, No. 166
Raw total energy in eV per atom: -2.955
Energy of formation from the pure elements in eV/atom: 0.08
Crystal system: trigonal

***

(8)
Computed, not measured: crystalline TlCoCl2 at its relaxed geometry at the PBE-GGA level of DFT.

abc: 6.0505 6.0505 5.7592
angles: 59.14 59.14 33.18
Last column: nearest neighbours and their distance in Å.
Element x y z (fractional)
Tl: 0.8174 0.8174 0.6339  3 Co 3.06-3.24, 3 Cl 3.21-3.35
Co: 0.5563 0.5563 0.6230  4 Cl 2.34-2.35
Cl: 0.9773 0.9773 0.9476  2 Co 2.34
Cl: 0.1491 0.1491 0.2955  2 Co 2.35

Results
Energy above the most stable polymorph in this dataset in meV/atom: 51
Energy relative to the elements, uncorrected in meV per atom: -394
Space-group type: Cm, No. 8
Raw total energy in eV per atom: -3.686
Crystal system: monoclinic

***

(9)
Computed, not measured: crystalline Sc2Cr2P2C at its relaxed geometry at the PBE-GGA level of DFT.

abc: 3.8309 3.8309 7.1420
angles: 105.56 105.56 90.00
Last column: nearest neighbours and their distance in Å.
Element x y z (fractional)
Sc: 0.1702 0.1702 0.3405  1 C 2.25
Sc: 0.8298 0.8298 0.6595  1 C 2.25
Cr: 0.0000 0.5000 0.0000  2 C 1.92
Cr: 0.5000 0.0000 0.0000  2 C 1.92
P: 0.3747 0.3747 0.7495  4 Cr 2.53, 5 Sc 2.70-2.77
P: 0.6253 0.6253 0.2505  4 Cr 2.53, 5 Sc 2.70-2.77
C: 0.0000 0.0000 0.0000  4 Cr 1.92

Results
Space-group type: I4/mmm, No. 139
Raw total energy in eV per atom: -8.175
Energy of formation from the pure elements in eV/atom: -0.75
Crystal system: tetragonal

***

(10)
Computed, not measured: crystalline Ac2LaNdSe4 at its relaxed geometry at the PBE-GGA level of DFT.

abc: 4.3401 7.6050 7.5684
angles: 70.80 90.00 90.00
Last column: nearest neighbours and their distance in Å.
Element x y z (fractional)
Ac: 0.0000 0.0000 0.0000  6 Se 3.15
Ac: 0.5000 0.0000 0.5000  6 Se 3.13
La: 0.5000 0.5000 0.0000  6 Se 3.05
Nd: 0.0000 0.5000 0.5000  6 Se 3.03
Se: 0.0000 0.7383 0.7517  1 Nd 3.03, 2 La 3.05, 3 Ac 3.13-3.15
Se: 0.0000 0.2617 0.2483  1 Nd 3.03, 2 La 3.05, 3 Ac 3.13-3.15
Se: 0.5000 0.7369 0.2567  2 Nd 3.03, 1 La 3.05, 3 Ac 3.13-3.15
Se: 0.5000 0.2631 0.7433  2 Nd 3.03, 1 La 3.05, 3 Ac 3.13-3.15

Results
Energy relative to the elements, uncorrected in meV per atom: -1889
Space-group type: P2/m, No. 10
Raw total energy in eV per atom: -5.870
Crystal system: monoclinic

***

(11)
Computed, not measured: crystalline AcPrPb2 at its relaxed geometry at the PBE-GGA level of DFT.

abc: 4.6559 6.6386 9.0695
angles: 90.00 90.00 90.00
Last column: nearest neighbours and their distance in Å.
Element x y z (fractional)
Ac: 0.5000 0.3760 0.3150  5 Pb 3.34-3.43
Ac: 0.5000 0.6240 0.8150  5 Pb 3.34-3.43
Pr: 0.0000 0.1252 0.6860  7 Pb 3.40-3.74
Pr: 0.0000 0.8748 0.1860  7 Pb 3.40-3.74
Pb: 0.0000 0.5991 0.5390  2 Pb 3.21, 1 Pr 3.42, 4 Ac 3.42-3.43
Pb: 0.0000 0.4009 0.0390  2 Pb 3.21, 1 Pr 3.42, 4 Ac 3.42-3.43
Pb: 0.5000 0.9140 0.4600  2 Pb 3.21, 1 Ac 3.34, 4 Pr 3.40-3.41
Pb: 0.5000 0.0860 0.9600  2 Pb 3.21, 1 Ac 3.34, 4 Pr 3.40-3.41

Results
Space-group type: Pmc2_1, No. 26
Raw total energy in eV per atom: -4.606
Energy of formation from the pure elements in eV/atom: -0.53
Crystal system: orthorhombic

***

(12)
Computed, not measured: crystalline Y2AlGa2 at its relaxed geometry at the PBE-GGA level of DFT.

abc: 4.1119 5.7902 5.7902
angles: 61.67 69.20 69.20
Last column: nearest neighbours and their distance in Å.
Element x y z (fractional)
Y: 0.7880 0.7120 0.7120  6 Ga 3.09-3.11, 2 Al 3.32
Y: 0.2120 0.2880 0.2880  6 Ga 3.09-3.11, 2 Al 3.32
Al: 0.0000 0.0000 0.0000  4 Ga 2.64
Ga: 0.5000 0.7218 0.2782  1 Ga 2.63, 2 Al 2.64
Ga: 0.5000 0.2782 0.7218  1 Ga 2.63, 2 Al 2.64

Results
Energy above the most stable polymorph in this dataset in meV/atom: 48
Space-group type: Immm, No. 71
Raw total energy in eV per atom: -5.135
Energy of formation from the pure elements in eV/atom: -0.59
Crystal system: orthorhombic